[1]
Entry from Alexandria: a geometry-optimized AcNd2Tl2Ag2 structure (PBE).

The total energy comes out at -3.672 eV/atom.

The space group is R-3m (No. 166, hexagonal axes) and the conventional cell measures 5.0041, 5.0041 and 28.7179 Å, with angles of 90.00, 90.00 and 120.00 degrees. The asymmetric unit holds Ac at (0.0000, 0.0000, 0.0000), Nd at (0.0000, 0.0000, 0.1272), Tl at (0.0000, 0.0000, 0.2549) and Ag at (0.0000, 0.0000, 0.4071).


[2]
Entry from Alexandria: a geometry-optimized LiPm2Cu structure (PBE).

The offset from the most stable computed form comes out at 0.0 kJ per mole of atoms.

The space group is P4/mmm (No. 123) and the conventional cell measures 3.656, 3.656 and 7.451 Å, with angles of 90.00, 90.00 and 90.00 degrees. The asymmetric unit holds Li at (0.000, 0.000, 0.000), Pm at (0.500, 0.500, 0.276) and Cu at (0.000, 0.000, 0.500).


[3]
Entry from Alexandria: a geometry-optimized Li5CuSO2 structure (PBE).

Its uncorrected formation energy is -1.434 eV per atom.

The space group is P4/mmm (No. 123) and the conventional cell measures 3.858, 3.858 and 7.730 Å, with angles of 90.00, 90.00 and 90.00 degrees. The asymmetric unit holds Li at (0.000, 0.000, 0.000), Li at (0.000, 0.500, 0.221), Cu at (0.000, 0.000, 0.500), S at (0.500, 0.500, 0.000) and O at (0.000, 0.000, 0.264).


[4]
Entry from Alexandria: a geometry-optimized CeErCCl structure (PBE).

Its uncorrected formation energy is -1.043 eV per atom.

The space group is R3m (No. 160, hexagonal axes) and the conventional cell measures 3.6036, 3.6036 and 21.4454 Å, with angles of 90.00, 90.00 and 120.00 degrees. The asymmetric unit holds Ce at (0.0000, 0.0000, 0.0000), Er at (0.0000, 0.0000, 0.7923), C at (0.0000, 0.0000, 0.4005) and Cl at (0.0000, 0.0000, 0.2192).